Record 1
{"formula": "Mn2GaRuC", "functional": "PBE", "state": "optimized geometry", "cell": [[-1.904, 3.314, 0.070], [-3.292, -1.900, 0.405], [0.410, 0.150, 4.039]], "species": ["Ru", "C", "Mn", "Mn", "Ga"], "frac_coords": [[0.000, 0.000, 0.500], [0.000, 0.000, 0.000], [0.000, 0.500, 0.000], [0.500, 0.000, 0.000], [0.500, 0.500, 0.500]], "dft_energy_ry_per_atom": -0.59169, "spacegroup": "P4/mmm, No. 123", "magmom_total_mub_per_fu": 3.37, "ef_ev_per_atom": -0.0772, "dos_at_fermi_per_ev_cell": 3.315}

---

Record 2
{"formula": "Mn2GaSbC", "functional": "PBE", "state": "optimized geometry", "cell": [[-2.362, 3.828, 1.477], [-4.225, -1.645, -2.494], [-1.375, -2.344, 3.877]], "species": ["Sb", "C", "Mn", "Mn", "Ga"], "frac_coords": [[0.000, 0.500, 0.000], [0.500, 0.500, 0.500], [0.000, 0.000, 0.500], [0.500, 0.000, 0.000], [0.000, 0.000, 0.000]], "dft_energy_ry_per_atom": -0.36719, "spacegroup": "P4/mmm, No. 123", "magmom_total_mub_per_fu": 7.10, "formation_energy_uncorrected_ev_per_atom": 1.95, "dos_at_fermi_per_ev_cell": 4.269}

---

Record 3
{"formula": "Sc2Mn2Ga2C", "functional": "PBE", "state": "optimized geometry", "cell": [[3.348, 0.000, 0.000], [1.674, 5.224, 0.091], [1.674, 1.328, 5.936]], "species": ["Sc", "Sc", "Mn", "Mn", "Ga", "Ga", "C"], "frac_coords": [[0.563, 0.140, 0.734], [0.437, 0.860, 0.266], [0.195, 0.666, 0.944], [0.805, 0.334, 0.056], [0.139, 0.378, 0.344], [0.861, 0.622, 0.656], [0.000, 0.000, 0.000]], "dft_energy_ry_per_atom": -0.51857, "spacegroup": "C2/m, No. 12", "magmom_total_mub_per_fu": 1.05, "ef_ev_per_atom": -0.4441, "dos_at_fermi_per_ev_cell": 3.821}

---

Record 4
{"formula": "Sm2Mn2Ga2C", "functional": "PBE", "state": "optimized geometry", "cell": [[3.891, 0.000, 0.000], [1.945, 5.493, -0.006], [1.945, 1.155, 5.832]], "species": ["Sm", "Sm", "Mn", "Mn", "Ga", "Ga", "C"], "frac_coords": [[0.562, 0.162, 0.715], [0.438, 0.838, 0.285], [0.195, 0.684, 0.927], [0.805, 0.316, 0.073], [0.150, 0.391, 0.308], [0.850, 0.609, 0.692], [0.000, 0.000, 0.000]], "dft_energy_ry_per_atom": -0.47834, "spacegroup": "C2/m, No. 12", "magmom_total_mub_per_fu": 2.85, "ef_ev_per_atom": -0.3574, "dos_at_fermi_per_ev_cell": 5.764}

---

Record 5
{"formula": "Mn9Ga2SnC3", "functional": "PBE", "state": "optimized geometry", "cell": [[4.625, 0.000, 0.000], [0.000, 4.625, 0.000], [0.000, 0.000, 15.364]], "species": ["Mn", "Mn", "Mn", "Mn", "Mn", "Mn", "Mn", "Mn", "Mn", "Ga", "Ga", "Sn", "C", "C", "C"], "frac_coords": [[0.500, 0.500, 0.824], [0.500, 0.500, 0.176], [0.500, 0.500, 0.500], [0.500, 0.000, 0.000], [0.500, 0.000, 0.414], [0.500, 0.000, 0.586], [0.000, 0.500, 0.000], [0.000, 0.500, 0.414], [0.000, 0.500, 0.586], [0.500, 0.500, 0.334], [0.500, 0.500, 0.666], [0.500, 0.500, 0.000], [0.000, 0.000, 0.957], [0.000, 0.000, 0.043], [0.000, 0.000, 0.500]], "dft_energy_ry_per_atom": -0.49034, "spacegroup": "P4/mmm, No. 123", "magmom_total_mub_per_fu": 14.97, "ef_ev_per_atom": 1.3456, "dos_at_fermi_per_ev_cell": 8.808}

---

Record 6
{"formula": "TaMn2GaC", "functional": "PBE", "state": "optimized geometry", "cell": [[-0.526, 3.789, -0.404], [-3.767, -0.455, 0.637], [0.655, 0.545, 4.262]], "species": ["C", "Mn", "Mn", "Ga", "Ta"], "frac_coords": [[0.000, 0.000, 0.000], [0.000, 0.500, 0.000], [0.500, 0.000, 0.000], [0.500, 0.500, 0.500], [0.000, 0.000, 0.500]], "dft_energy_ry_per_atom": -0.63154, "spacegroup": "P4/mmm, No. 123", "magmom_total_mub_per_fu": 3.99, "ef_ev_per_atom": -0.1040, "dos_at_fermi_per_ev_cell": 3.978}

---

Record 7
{"formula": "TbMn2Ga2C", "functional": "PBE", "state": "optimized geometry", "cell": [[-0.287, -0.815, 3.811], [3.817, -0.829, 0.110], [1.122, 5.327, 1.224]], "species": ["Tb", "Mn", "Mn", "Ga", "Ga", "C"], "frac_coords": [[0.000, 0.000, 0.500], [0.500, 0.000, 0.000], [0.000, 0.500, 0.000], [0.500, 0.500, 0.724], [0.500, 0.500, 0.276], [0.000, 0.000, 0.000]], "dft_energy_ry_per_atom": -0.49576, "spacegroup": "P4/mmm, No. 123", "magmom_total_mub_per_fu": 1.79, "ef_ev_per_atom": -0.3707, "dos_at_fermi_per_ev_cell": 3.376}

---

Record 8
{"formula": "Mn2GaTcC", "functional": "PBE", "state": "optimized geometry", "cell": [[3.832, 0.000, 0.000], [0.000, 3.832, 0.000], [0.000, 0.000, 4.097]], "species": ["C", "Mn", "Mn", "Tc", "Ga"], "frac_coords": [[0.000, 0.000, 0.000], [0.000, 0.500, 0.000], [0.500, 0.000, 0.000], [0.000, 0.000, 0.500], [0.500, 0.500, 0.500]], "dft_energy_ry_per_atom": -0.60727, "spacegroup": "P4/mmm, No. 123", "magmom_total_mub_per_fu": 3.53, "ef_ev_per_atom": -0.0711, "dos_at_fermi_per_ev_cell": 3.379}